(1)
SmTl7, optimized geometry, DFT GGA-PBE; density of states at the Fermi level = 3.2 states/eV/cell; V = 29.3 Å³/atom; energy = -2.77 eV per atom; theoretical density = 11.22 g/cm³; symmetry = No. 225
1.0
0.000 4.891 4.891
4.891 0.000 4.891
4.891 4.891 0.000
Sm Tl
1 7
Cartesian
0.000 0.000 0.000
2.446 2.446 0.000
2.446 0.000 2.446
4.891 2.446 2.446
0.000 2.446 2.446
2.446 4.891 2.446
2.446 2.446 4.891
4.891 4.891 4.891

=====

(2)
Sm4Tl3, optimized geometry, DFT GGA-PBE; density of states at the Fermi level = 18.3 states/eV/cell; V = 29.6 Å³/atom; energy = -4.02 eV per atom; theoretical density = 9.74 g/cm³; symmetry = No. 148
1.0
7.285 4.206 2.254
-7.285 4.206 2.254
0.000 -8.412 2.254
Sm Tl
8 6
Cartesian
0.000 0.000 0.000
-3.988 -3.517 3.294
-5.040 1.696 3.466
1.051 -5.212 3.466
0.000 0.000 3.380
-1.051 5.212 3.294
5.040 -1.696 3.294
3.988 3.517 3.466
-0.914 -2.821 2.017
-1.986 2.202 2.017
-2.900 -0.619 4.744
2.900 0.619 2.017
1.986 -2.202 4.744
0.914 2.821 4.744

=====

(3)
Sm3Tl, optimized geometry, DFT GGA-PBE; density of states at the Fermi level = 10.8 states/eV/cell; V = 30.1 Å³/atom; energy = -4.31 eV per atom; theoretical density = 9.05 g/cm³; symmetry = No. 139
1.0
4.851 0.000 0.000
0.000 4.851 0.000
0.000 0.000 10.227
Sm Tl
6 2
Cartesian
0.000 0.000 0.000
0.000 2.425 2.557
0.000 2.425 7.670
2.425 0.000 2.557
2.425 0.000 7.670
2.425 2.425 5.113
0.000 0.000 5.113
2.425 2.425 0.000

=====

(4)
Sm4Tl5, optimized geometry, DFT GGA-PBE; density of states at the Fermi level = 16.6 states/eV/cell; V = 29.0 Å³/atom; energy = -3.74 eV per atom; theoretical density = 10.34 g/cm³; symmetry = No. 193
1.0
9.521 0.000 0.000
-4.761 8.245 0.000
0.000 0.000 6.643
Sm Tl
8 10
Cartesian
0.000 0.000 0.000
0.000 0.000 3.321
-1.758 3.046 1.661
-3.002 5.200 4.982
3.517 0.000 1.661
1.758 3.046 4.982
6.004 0.000 4.982
3.002 5.200 1.661
-1.426 2.471 4.982
-3.334 5.775 1.661
2.853 0.000 4.982
1.426 2.471 1.661
0.000 5.497 0.000
0.000 5.497 3.321
4.761 2.748 0.000
4.761 2.748 3.321
6.668 0.000 1.661
3.334 5.775 4.982

=====

(5)
Sm3Tl5, optimized geometry, DFT GGA-PBE; density of states at the Fermi level = 10.2 states/eV/cell; V = 28.4 Å³/atom; energy = -3.57 eV per atom; theoretical density = 10.76 g/cm³; symmetry = No. 65
1.0
9.143 0.000 0.000
0.000 9.918 0.000
0.000 0.000 5.012
Sm Tl
6 10
Cartesian
0.000 0.000 0.000
0.000 2.775 2.506
0.000 7.143 2.506
4.571 2.184 2.506
4.571 4.959 0.000
4.571 7.734 2.506
0.000 4.959 0.000
2.077 0.000 2.506
2.286 2.479 0.000
2.286 7.438 0.000
2.495 4.959 2.506
4.571 0.000 0.000
6.648 4.959 2.506
6.857 2.479 0.000
6.857 7.438 0.000
7.066 0.000 2.506

=====

(6)
Sm3Tl, optimized geometry, DFT GGA-PBE; density of states at the Fermi level = 22.1 states/eV/cell; V = 30.5 Å³/atom; energy = -4.17 eV per atom; theoretical density = 8.91 g/cm³; symmetry = No. 225
1.0
7.875 0.000 0.000
0.000 7.875 0.000
0.000 0.000 7.875
Sm Tl
12 4
Cartesian
0.000 0.000 0.000
0.000 3.938 3.938
1.969 1.969 1.969
1.969 1.969 5.906
1.969 5.906 1.969
1.969 5.906 5.906
3.938 0.000 3.938
3.938 3.938 0.000
5.906 1.969 1.969
5.906 1.969 5.906
5.906 5.906 1.969
5.906 5.906 5.906
0.000 0.000 3.938
0.000 3.938 0.000
3.938 0.000 0.000
3.938 3.938 3.938

=====

(7)
Sm3Tl4, optimized geometry, DFT GGA-PBE; density of states at the Fermi level = 9.8 states/eV/cell; V = 28.6 Å³/atom; energy = -3.73 eV per atom; theoretical density = 10.51 g/cm³; symmetry = No. 148
1.0
7.238 4.179 2.209
-7.238 4.179 2.209
0.000 -8.358 2.209
Sm Tl
6 8
Cartesian
-2.812 -0.579 1.480
1.908 -2.145 1.480
0.904 2.725 1.480
-0.904 -2.725 5.146
-1.908 2.145 5.146
2.812 0.579 5.146
0.000 0.000 0.000
-1.101 -3.255 1.987
-2.268 2.581 1.987
-3.369 -0.674 4.639
0.000 0.000 3.313
3.369 0.674 1.987
2.268 -2.581 4.639
1.101 3.255 4.639

=====

(8)
Sm8Tl3, optimized geometry, DFT GGA-PBE; density of states at the Fermi level = 20.6 states/eV/cell; V = 35.4 Å³/atom; energy = -3.99 eV per atom; theoretical density = 7.75 g/cm³; symmetry = No. 148
1.0
5.129 2.961 4.268
-5.129 2.961 4.268
0.000 -5.923 4.268
Sm Tl
8 3
Cartesian
0.000 0.000 1.844
-2.248 0.255 4.963
0.904 -2.074 4.963
-1.344 -1.819 7.840
1.344 1.819 4.963
-0.903 2.074 7.840
2.248 -0.255 7.840
0.000 0.000 10.960
-5.129 0.000 6.402
-2.565 1.481 2.134
2.565 1.481 2.134

=====

(9)
SmTl3, optimized geometry, DFT GGA-PBE; density of states at the Fermi level = 1.5 states/eV/cell; V = 27.8 Å³/atom; energy = -3.25 eV per atom; theoretical density = 11.41 g/cm³; symmetry = No. 221
1.0
4.807 0.000 0.000
0.000 4.807 0.000
0.000 0.000 4.807
Sm Tl
1 3
Cartesian
0.000 0.000 0.000
0.000 2.404 2.404
2.404 0.000 2.404
2.404 2.404 0.000

=====

(10)
Sm7Tl5, optimized geometry, DFT GGA-PBE; density of states at the Fermi level = 11.8 states/eV/cell; V = 31.9 Å³/atom; energy = -3.95 eV per atom; theoretical density = 9.00 g/cm³; symmetry = No. 12
1.0
5.952 -2.453 0.000
5.952 2.453 0.000
-5.266 0.000 13.105
Sm Tl
7 5
Cartesian
0.000 0.000 0.000
-0.814 0.000 7.005
-1.642 0.000 10.701
1.901 0.000 9.356
4.737 0.000 3.748
8.280 0.000 2.404
7.452 0.000 6.099
0.839 0.000 3.899
3.830 0.000 0.746
3.319 0.000 6.552
2.807 0.000 12.358
5.799 0.000 9.206

=====

(11)
Sm3Tl2, optimized geometry, DFT GGA-PBE; density of states at the Fermi level = 10.8 states/eV/cell; V = 30.2 Å³/atom; energy = -4.06 eV per atom; theoretical density = 9.47 g/cm³; symmetry = No. 139
1.0
3.634 0.000 0.000
0.000 3.634 0.000
0.000 0.000 22.845
Sm Tl
6 4
Cartesian
0.000 0.000 0.000
0.000 0.000 4.375
0.000 0.000 18.470
1.817 1.817 7.047
1.817 1.817 11.422
1.817 1.817 15.798
0.000 0.000 9.235
0.000 0.000 13.610
1.817 1.817 2.187
1.817 1.817 20.657

=====

(12)
Sm3Tl5, optimized geometry, DFT GGA-PBE; density of states at the Fermi level = 10.1 states/eV/cell; V = 28.3 Å³/atom; energy = -3.60 eV per atom; theoretical density = 10.81 g/cm³; symmetry = No. 63
1.0
5.119 -4.144 0.000
5.119 4.144 0.000
0.000 0.000 10.663
Sm Tl
6 10
Cartesian
5.119 3.178 7.997
3.023 0.000 0.000
3.023 0.000 5.331
7.215 0.000 0.000
7.215 0.000 5.331
5.119 -3.178 2.666
2.249 1.732 7.997
5.119 2.524 0.422
5.119 2.524 4.910
2.249 -1.732 2.666
5.119 0.039 2.666
5.119 -0.039 7.997
7.989 1.732 7.997
5.119 -2.524 5.753
5.119 -2.524 10.241
7.989 -1.732 2.666

=====

(13)
Sm4Tl3, optimized geometry, DFT GGA-PBE; density of states at the Fermi level = 8.9 states/eV/cell; V = 31.4 Å³/atom; energy = -3.94 eV per atom; theoretical density = 9.17 g/cm³; symmetry = No. 166
1.0
2.689 1.553 8.783
-2.689 1.553 8.783
0.000 -3.105 8.783
Sm Tl
4 3
Cartesian
0.000 0.000 3.158
0.000 0.000 9.803
0.000 0.000 16.545
0.000 0.000 23.190
0.000 0.000 6.618
0.000 0.000 13.174
0.000 0.000 19.730

=====

(14)
Sm2TmTl4, optimized geometry, DFT GGA-PBE; density of states at the Fermi level = 18.8 states/eV/cell; V = 36.9 Å³/atom; energy = -3.20 eV per atom; theoretical density = 8.27 g/cm³; symmetry = No. 139
1.0
5.731 0.000 0.000
0.000 5.731 0.000
0.000 0.000 15.728
Sm Tm Tl
4 2 8
Cartesian
0.000 0.000 1.625
0.000 0.000 14.103
2.866 2.866 6.239
2.866 2.866 9.489
0.000 0.000 7.864
2.866 2.866 0.000
0.000 0.000 4.814
0.000 0.000 10.915
0.000 2.866 0.000
0.000 2.866 7.864
2.866 0.000 0.000
2.866 0.000 7.864
2.866 2.866 3.050
2.866 2.866 12.678

=====

(15)
Sm3Tm12Tl, optimized geometry, DFT GGA-PBE; density of states at the Fermi level = 19.7 states/eV/cell; V = 30.1 Å³/atom; energy = -4.40 eV per atom; theoretical density = 9.24 g/cm³; symmetry = No. 123
1.0
4.918 0.000 0.000
0.000 4.918 0.000
0.000 0.000 19.931
Sm Tm Tl
3 12 1
Cartesian
0.000 0.000 0.000
0.000 0.000 5.010
0.000 0.000 14.921
0.000 2.459 2.523
0.000 2.459 7.551
0.000 2.459 12.380
0.000 2.459 17.408
2.459 0.000 2.523
2.459 0.000 7.551
2.459 0.000 12.380
2.459 0.000 17.408
2.459 2.459 0.000
2.459 2.459 5.114
2.459 2.459 9.965
2.459 2.459 14.817
0.000 0.000 9.965

=====

(16)
SmTm4Tl, optimized geometry, DFT GGA-PBE; density of states at the Fermi level = 6.4 states/eV/cell; V = 29.7 Å³/atom; energy = -4.26 eV per atom; theoretical density = 9.60 g/cm³; symmetry = No. 123
1.0
3.559 0.000 0.000
0.000 3.559 0.000
0.000 0.000 14.068
Sm Tm Tl
1 4 1
Cartesian
0.000 0.000 0.000
0.000 0.000 4.933
0.000 0.000 9.135
1.780 1.780 2.512
1.780 1.780 11.556
1.780 1.780 7.034

=====

(17)
Sm6TmTl2, optimized geometry, DFT GGA-PBE; density of states at the Fermi level = 22.5 states/eV/cell; V = 30.6 Å³/atom; energy = -4.27 eV per atom; theoretical density = 8.91 g/cm³; symmetry = No. 15
1.0
8.005 -5.846 0.000
8.005 5.846 0.000
-0.910 0.000 5.892
Sm Tm Tl
12 2 4
Cartesian
6.187 4.521 5.706
4.071 1.463 0.989
8.458 4.521 3.132
5.549 1.331 4.119
3.616 -1.463 3.935
6.005 -1.331 1.173
9.095 1.331 4.719
11.484 1.463 1.957
9.550 -1.331 1.773
6.642 -4.521 2.760
11.029 -1.463 4.903
8.913 -4.521 0.186
7.778 1.641 1.473
7.322 -1.641 4.419
1.947 1.594 3.514
2.402 -1.594 0.568
12.698 1.594 5.325
13.153 -1.594 2.379

=====

(18)
SmTm7Tl4, optimized geometry, DFT GGA-PBE; density of states at the Fermi level = 12.4 states/eV/cell; V = 29.2 Å³/atom; energy = -3.77 eV per atom; theoretical density = 10.19 g/cm³; symmetry = No. 12
1.0
7.427 -2.859 0.000
7.427 2.859 0.000
-5.042 0.000 8.252
Sm Tm Tl
1 7 4
Cartesian
0.000 0.000 0.000
-1.028 0.000 3.389
-1.407 0.000 7.242
2.297 0.000 2.507
7.427 0.000 0.000
7.516 0.000 5.745
11.219 0.000 1.010
10.840 0.000 4.863
1.335 0.000 5.469
5.258 0.000 2.370
4.554 0.000 5.883
8.477 0.000 2.783

=====

(19)
Sm3Tm5Tl2, optimized geometry, DFT GGA-PBE; density of states at the Fermi level = 27.8 states/eV/cell; V = 31.6 Å³/atom; energy = -4.03 eV per atom; theoretical density = 8.97 g/cm³; symmetry = No. 72
1.0
-6.397 7.710 3.199
6.397 -7.710 3.199
6.397 7.710 -3.199
Sm Tm Tl
6 10 4
Cartesian
1.538 3.595 0.000
0.000 0.000 1.599
7.935 4.115 0.000
-1.538 3.595 3.199
0.000 0.000 4.798
4.859 4.115 3.199
4.914 2.525 0.000
3.251 0.000 1.599
6.397 0.000 1.599
9.542 0.000 1.599
4.914 -2.525 3.199
1.483 10.235 0.000
-3.145 7.710 1.599
0.000 7.710 1.599
3.145 7.710 1.599
1.483 5.185 3.199
4.643 -5.451 3.199
4.643 5.451 0.000
1.753 2.259 3.199
1.753 13.161 0.000

=====

(20)
SmTmTl2, optimized geometry, DFT GGA-PBE; density of states at the Fermi level = 11.1 states/eV/cell; V = 27.7 Å³/atom; energy = -3.82 eV per atom; theoretical density = 10.92 g/cm³; symmetry = No. 225
1.0
7.621 0.000 0.000
0.000 7.621 0.000
0.000 0.000 7.621
Sm Tm Tl
4 4 8
Cartesian
0.000 0.000 0.000
0.000 3.811 3.811
3.811 0.000 3.811
3.811 3.811 0.000
0.000 0.000 3.811
0.000 3.811 0.000
3.811 0.000 0.000
3.811 3.811 3.811
1.905 1.905 1.905
1.905 1.905 5.716
1.905 5.716 1.905
1.905 5.716 5.716
5.716 1.905 1.905
5.716 1.905 5.716
5.716 5.716 1.905
5.716 5.716 5.716